# 1
Sr2NbAsIr | Alexandria via LeMat-Bulk | SCAN | PBEsol geometry; total energy = -163.76 eV per formula unit; E_form = 1.041 eV/atom; DOS(E_F) = 4.0 states/eV/cell
1.0
5.685 0.000 0.000
0.000 5.685 0.000
0.000 0.000 4.767
Sr Nb As Ir
2 1 1 1
direct
0.000 0.500 0.000
0.500 0.000 0.000
0.000 0.000 0.000
0.000 0.000 0.500
0.500 0.500 0.500


# 2
NiAsIr2 | Alexandria via LeMat-Bulk | SCAN | PBEsol geometry; total energy = -177.98 eV per formula unit; E_form = 0.146 eV/atom; DOS(E_F) = 3.1 states/eV/cell
1.0
2.768 0.000 0.000
0.000 3.642 0.000
0.000 0.000 5.390
Ni As Ir
1 1 2
direct
0.000 0.000 0.000
0.500 0.500 0.240
0.000 0.000 0.511
0.500 0.500 0.774


# 3
NiAsIr | Alexandria via LeMat-Bulk | SCAN | PBEsol geometry; total energy = -107.15 eV per formula unit; E_form = 0.103 eV/atom; DOS(E_F) = 2.6 states/eV/cell
1.0
2.845 0.000 0.000
-1.423 2.464 0.000
0.000 0.000 5.743
Ni As Ir
1 1 1
direct
0.000 0.000 0.000
0.333 0.667 0.699
0.667 0.333 0.356


# 4
NiAs2IrSe | Alexandria via LeMat-Bulk | SCAN | PBEsol geometry; total energy = -143.36 eV per formula unit; raw formation energy = 0.874 eV per atom; DOS(E_F) = 2.8 states/eV/cell
1.0
4.376 0.000 0.000
0.000 4.376 0.000
0.000 0.000 4.584
Ni As Ir Se
1 2 1 1
direct
0.000 0.000 0.000
0.000 0.500 0.000
0.500 0.000 0.000
0.500 0.500 0.500
0.000 0.000 0.500